Record 1
Below is a PBEsol-optimized structure of GaNiOF2, with properties calculated at the SCAN level.

* VASP energy: -10.610 eV per atom
* V: 55.7 Å³/cell
* M_tot: 0.23 μB per atom
* DOS(E_F): 1.999 states/eV/f.u.

Cell lengths 3.885, 3.885, 3.689 Å; angles 90.00, 90.00, 90.00 degrees
Space group P4/mmm (No. 123)
Inequivalent atoms, fractional coordinates:
Ga1 0.000 0.000 0.000
Ni1 0.500 0.500 0.500
O1 0.000 0.000 0.500
F1 0.000 0.500 0.000



Record 2
Below is a PBEsol-optimized structure of TlAgPb2, with properties calculated at the SCAN level.

* V: 208.9 Å³/cell
* M_tot: 0.00 μB per atom
* DOS(E_F): 1.730 states/eV/f.u.
* excess energy over the best structure of this formula in the dataset: 4.7 kJ/mol of atoms
* ΔE_f: 37 kJ/mol of formula units

Cell lengths 3.361, 5.536, 11.226 Å; angles 90.00, 90.00, 90.00 degrees
Space group Immm (No. 71)
Inequivalent atoms, fractional coordinates:
Tl1 0.000 0.000 0.000
Ag1 0.000 0.000 0.500
Pb1 0.000 0.500 0.220